*a*
Below is a geometry-optimized Ca2CF structure, with properties calculated at the PBE level.

Results
Magnetization, μB/f.u.: 1.0
SG: Fm-3m

Cell lengths 4.436, 4.436, 4.436 Å; angles 60.00, 60.00, 60.00 degrees
Sites, in units of the cell vectors:
Ca: 0.250 0.250 0.250
Ca: 0.750 0.750 0.750
C: 0.000 0.000 0.000
F: 0.500 0.500 0.500

=====

*b*
Below is a geometry-optimized Ca2CF structure, with properties calculated at the PBE level.

Results
Magnetization, μB/f.u.: 1.0
SG: I-42d

Cell lengths 5.436, 5.436, 6.872 Å; angles 66.70, 66.70, 90.00 degrees
Sites, in units of the cell vectors:
Ca: 0.627 0.125 0.250
Ca: 0.123 0.625 0.250
Ca: 0.375 0.373 0.750
Ca: 0.875 0.877 0.750
C: 0.500 0.500 0.000
C: 0.250 0.750 0.500
F: 0.000 0.000 0.000
F: 0.750 0.250 0.500

=====

Stability check: which of them is least stable? *a*.

=====

*a*
Below is a geometry-optimized CaC2F structure, with properties calculated at the PBE level.

Results
Magnetization, μB/f.u.: 0.0
SG: I4_1/amd

Cell lengths 2.954, 2.954, 10.716 Å; angles 82.08, 82.08, 90.00 degrees
Sites, in units of the cell vectors:
Ca: 0.000 0.000 0.000
Ca: 0.750 0.250 0.500
C: 0.375 0.125 0.250
C: 0.375 0.625 0.250
C: 0.375 0.625 0.750
C: 0.875 0.625 0.750
F: 0.500 0.500 0.000
F: 0.250 0.750 0.500

=====

*b*
Below is a geometry-optimized CaC2F structure, with properties calculated at the PBE level.

Results
Magnetization, μB/f.u.: 0.0
SG: Fm-3m

Cell lengths 4.177, 4.177, 4.177 Å; angles 60.00, 60.00, 60.00 degrees
Sites, in units of the cell vectors:
Ca: 0.500 0.500 0.500
C: 0.250 0.250 0.250
C: 0.750 0.750 0.750
F: 0.000 0.000 0.000

=====

Stability check: which of them is least stable? *b*.

=====

*a*
Below is a geometry-optimized CaCF3 structure, with properties calculated at the PBE level.

Results
Magnetization, μB/f.u.: 1.0
SG: Pm-3m

Cell lengths 4.406, 4.406, 4.406 Å; angles 90.00, 90.00, 90.00 degrees
Sites, in units of the cell vectors:
Ca: 0.000 0.000 0.000
C: 0.500 0.500 0.500
F: 0.000 0.500 0.000
F: 0.000 0.000 0.500
F: 0.500 0.000 0.000

=====

*b*
Below is a geometry-optimized CaCF3 structure, with properties calculated at the PBE level.

Results
Magnetization, μB/f.u.: 0.9
SG: Pm-3m

Cell lengths 4.018, 4.018, 4.018 Å; angles 90.00, 90.00, 90.00 degrees
Sites, in units of the cell vectors:
Ca: 0.500 0.500 0.500
C: 0.000 0.000 0.000
F: 0.000 0.500 0.000
F: 0.000 0.000 0.500
F: 0.500 0.000 0.000

=====

Stability check: which of them is least stable? *a*.

=====

*a*
Below is a geometry-optimized CaCOF2 structure, with properties calculated at the PBE level.

Results
Magnetization, μB/f.u.: 0.8
SG: P4/mmm

Cell lengths 4.259, 4.259, 4.651 Å; angles 90.00, 90.00, 90.00 degrees
Sites, in units of the cell vectors:
Ca: 0.000 0.000 0.000
C: 0.500 0.500 0.500
O: 0.000 0.000 0.500
F: 0.000 0.500 0.000
F: 0.500 0.000 0.000

=====

*b*
Below is a geometry-optimized CaCOF2 structure, with properties calculated at the PBE level.

Results
Magnetization, μB/f.u.: 0.0
SG: P4/mmm

Cell lengths 4.012, 4.012, 3.470 Å; angles 90.00, 90.00, 90.00 degrees
Sites, in units of the cell vectors:
Ca: 0.500 0.500 0.500
C: 0.000 0.000 0.000
O: 0.000 0.000 0.500
F: 0.000 0.500 0.000
F: 0.500 0.000 0.000

=====

Stability check: which of them is least stable? *a*.

=====

*a*
Below is a geometry-optimized CaFe3C structure, with properties calculated at the PBE level.

Results
Magnetization, μB/f.u.: 4.1
SG: Pm-3m

Cell lengths 3.949, 3.949, 3.949 Å; angles 90.00, 90.00, 90.00 degrees
Sites, in units of the cell vectors:
C: 0.000 0.000 0.000
Ca: 0.500 0.500 0.500
Fe: 0.000 0.500 0.000
Fe: 0.000 0.000 0.500
Fe: 0.500 0.000 0.000

=====

*b*
Below is a geometry-optimized CaFe3C structure, with properties calculated at the PBE level.

Results
Magnetization, μB/f.u.: 7.5
SG: Pm-3m

Cell lengths 4.523, 4.523, 4.523 Å; angles 90.00, 90.00, 90.00 degrees
Sites, in units of the cell vectors:
C: 0.500 0.500 0.500
Ca: 0.000 0.000 0.000
Fe: 0.000 0.500 0.000
Fe: 0.000 0.000 0.500
Fe: 0.500 0.000 0.000

=====

Stability check: which of them is least stable? *b*.

=====

*a*
Below is a geometry-optimized CaFeC structure, with properties calculated at the PBE level.

Results
Magnetization, μB/f.u.: 0.0
SG: P3m1

Cell lengths 4.406, 3.303, 3.303 Å; angles 120.00, 90.00, 90.00 degrees
Sites, in units of the cell vectors:
C: 0.141 0.000 0.000
Ca: 0.686 0.667 0.333
Fe: 0.173 0.333 0.667

=====

*b*
Below is a geometry-optimized CaFeC structure, with properties calculated at the PBE level.

Results
Magnetization, μB/f.u.: 0.0
SG: I4mm

Cell lengths 2.745, 2.745, 5.240 Å; angles 105.18, 105.18, 90.00 degrees
Sites, in units of the cell vectors:
C: 0.712 0.712 0.424
Ca: 0.009 0.009 0.018
Fe: 0.279 0.279 0.558

=====

Stability check: which of them is least stable? *b*.

=====

*a*
Below is a geometry-optimized Ca2Fe2C structure, with properties calculated at the PBE level.

Results
Magnetization, μB/f.u.: 0.0
SG: I4/mmm

Cell lengths 3.124, 3.124, 8.784 Å; angles 79.76, 79.76, 90.00 degrees
Sites, in units of the cell vectors:
C: 0.000 0.000 0.000
Ca: 0.412 0.412 0.176
Ca: 0.588 0.588 0.824
Fe: 0.750 0.250 0.500
Fe: 0.250 0.750 0.500

=====

*b*
Below is a geometry-optimized Ca2Fe2C structure, with properties calculated at the PBE level.

Results
Magnetization, μB/f.u.: 0.5
SG: P4/mbm

Cell lengths 6.756, 6.756, 4.532 Å; angles 90.00, 90.00, 90.00 degrees
Sites, in units of the cell vectors:
C: 0.000 0.000 0.000
C: 0.500 0.500 0.000
Ca: 0.319 0.819 0.000
Ca: 0.819 0.681 0.000
Ca: 0.681 0.181 0.000
Ca: 0.181 0.319 0.000
Fe: 0.105 0.605 0.500
Fe: 0.605 0.895 0.500
Fe: 0.895 0.395 0.500
Fe: 0.395 0.105 0.500

=====

Stability check: which of them is least stable? *b*.

=====

*a*
Below is a geometry-optimized Ca2FeC structure, with properties calculated at the PBE level.

Results
Magnetization, μB/f.u.: 0.0
SG: Fm-3m

Cell lengths 4.606, 4.606, 4.606 Å; angles 60.00, 60.00, 60.00 degrees
Sites, in units of the cell vectors:
C: 0.000 0.000 0.000
Ca: 0.250 0.250 0.250
Ca: 0.750 0.750 0.750
Fe: 0.500 0.500 0.500

=====

*b*
Below is a geometry-optimized Ca2FeC structure, with properties calculated at the PBE level.

Results
Magnetization, μB/f.u.: 0.7
SG: I-42d

Cell lengths 9.871, 9.871, 7.217 Å; angles 46.85, 46.85, 90.00 degrees
Sites, in units of the cell vectors:
C: 0.500 0.500 0.000
C: 0.250 0.750 0.500
Ca: 0.432 0.125 0.250
Ca: 0.318 0.625 0.250
Ca: 0.375 0.568 0.750
Ca: 0.875 0.682 0.750
Fe: 0.000 0.000 0.000
Fe: 0.750 0.250 0.500

=====

Stability check: which of them is least stable? *a*.

=====

*a*
Below is a geometry-optimized Ca2ZnFeC structure, with properties calculated at the PBE level.

Results
Magnetization, μB/f.u.: 0.8
SG: P4/mmm

Cell lengths 5.130, 5.130, 3.683 Å; angles 90.00, 90.00, 90.00 degrees
Sites, in units of the cell vectors:
C: 0.000 0.000 0.000
Zn: 0.500 0.500 0.500
Ca: 0.000 0.500 0.000
Ca: 0.500 0.000 0.000
Fe: 0.000 0.000 0.500

=====

*b*
Below is a geometry-optimized Ca2ZnFeC structure, with properties calculated at the PBE level.

Results
Magnetization, μB/f.u.: 1.0
SG: P4/mmm

Cell lengths 5.358, 3.686, 5.358 Å; angles 90.00, 90.00, 90.00 degrees
Sites, in units of the cell vectors:
C: 0.000 0.500 0.000
Zn: 0.500 0.500 0.500
Ca: 0.000 0.000 0.500
Ca: 0.500 0.000 0.000
Fe: 0.000 0.000 0.000

=====

Stability check: which of them is least stable? *b*.

=====

*a*
Below is a geometry-optimized CaH2CO4 structure, with properties calculated at the PBE level.

Results
Magnetization, μB/f.u.: 0.0
SG: P3_1

Cell lengths 7.646, 10.639, 10.639 Å; angles 120.00, 90.00, 90.00 degrees
Sites, in units of the cell vectors:
C: 0.048 0.906 0.082
C: 0.715 0.176 0.094
C: 0.381 0.918 0.824
C: 0.953 0.250 0.761
C: 0.619 0.511 0.750
C: 0.286 0.239 0.489
C: 0.035 0.567 0.410
C: 0.702 0.843 0.433
C: 0.369 0.590 0.157
Ca: 0.676 0.814 0.915
Ca: 0.343 0.100 0.186
Ca: 0.009 0.085 0.900
Ca: 0.652 0.148 0.572
Ca: 0.319 0.425 0.852
Ca: 0.985 0.428 0.575
Ca: 0.664 0.481 0.239
Ca: 0.331 0.758 0.519
Ca: 0.998 0.761 0.242
H: 0.079 0.668 0.880
H: 0.746 0.212 0.332
H: 0.412 0.120 0.788
H: 0.088 0.001 0.553
H: 0.754 0.552 0.999
H: 0.421 0.447 0.448
H: 0.087 0.330 0.203
H: 0.753 0.873 0.670
H: 0.420 0.797 0.127
H: 0.235 0.664 0.781
H: 0.902 0.117 0.336
H: 0.569 0.219 0.883
H: 0.245 0.998 0.456
H: 0.912 0.458 0.002
H: 0.579 0.544 0.542
H: 0.244 0.336 0.110
H: 0.911 0.774 0.664
H: 0.577 0.890 0.226
O: 0.158 0.600 0.800
O: 0.825 0.200 0.400
O: 0.492 0.200 0.800
O: 0.165 0.934 0.472
O: 0.832 0.538 0.066
O: 0.499 0.528 0.462
O: 0.170 0.267 0.125
O: 0.837 0.858 0.733
O: 0.504 0.875 0.142
O: 0.948 0.790 0.025
O: 0.614 0.235 0.210
O: 0.281 0.975 0.765
O: 0.076 0.974 0.222
O: 0.743 0.248 0.026
O: 0.409 0.778 0.752
O: 0.926 0.110 0.692
O: 0.592 0.582 0.890
O: 0.259 0.308 0.418
O: 0.055 0.308 0.875
O: 0.722 0.567 0.692
O: 0.388 0.125 0.433
O: 0.935 0.453 0.353
O: 0.601 0.900 0.547
O: 0.268 0.647 0.100
O: 0.065 0.635 0.550
O: 0.732 0.915 0.365
O: 0.399 0.450 0.085
O: 0.127 0.947 0.002
O: 0.793 0.056 0.053
O: 0.460 0.998 0.944
O: 0.871 0.329 0.720
O: 0.537 0.391 0.671
O: 0.204 0.280 0.609
O: 0.114 0.611 0.332
O: 0.781 0.721 0.389
O: 0.447 0.668 0.279

=====

*b*
Below is a geometry-optimized CaH2CO4 structure, with properties calculated at the PBE level.

Results
Magnetization, μB/f.u.: 0.0
SG: I222

Cell lengths 3.813, 4.584, 4.584 Å; angles 74.81, 65.43, 65.43 degrees
Sites, in units of the cell vectors:
Ca: 0.000 0.000 0.000
H: 0.144 0.356 0.356
H: 0.856 0.644 0.644
C: 0.500 0.500 0.500
O: 0.409 0.232 0.496
O: 0.137 0.768 0.504
O: 0.863 0.496 0.232
O: 0.591 0.504 0.768

=====

Stability check: which of them is least stable? *b*.

=====

*a*
Below is a geometry-optimized CaHfC2 structure, with properties calculated at the PBE level.

Results
Magnetization, μB/f.u.: 0.0
SG: I-42d

Cell lengths 6.127, 6.127, 5.572 Å; angles 56.64, 56.64, 90.00 degrees
Sites, in units of the cell vectors:
Ca: 0.500 0.500 0.000
Ca: 0.250 0.750 0.500
Hf: 0.000 0.000 0.000
Hf: 0.750 0.250 0.500
C: 0.670 0.125 0.250
C: 0.080 0.625 0.250
C: 0.375 0.330 0.750
C: 0.875 0.920 0.750

=====

*b*
Below is a geometry-optimized CaHfC2 structure, with properties calculated at the PBE level.

Results
Magnetization, μB/f.u.: 0.0
SG: Fm-3m

Cell lengths 4.204, 4.204, 4.204 Å; angles 60.00, 60.00, 60.00 degrees
Sites, in units of the cell vectors:
Ca: 0.000 0.000 0.000
Hf: 0.500 0.500 0.500
C: 0.250 0.250 0.250
C: 0.750 0.750 0.750

=====

Stability check: which of them is least stable? *b*.

=====

*a*
Below is a geometry-optimized CaHfC3 structure, with properties calculated at the PBE level.

Results
Magnetization, μB/f.u.: 0.0
SG: Pm-3m

Cell lengths 4.308, 4.308, 4.308 Å; angles 90.00, 90.00, 90.00 degrees
Sites, in units of the cell vectors:
Ca: 0.500 0.500 0.500
Hf: 0.000 0.000 0.000
C: 0.000 0.500 0.000
C: 0.000 0.000 0.500
C: 0.500 0.000 0.000

=====

*b*
Below is a geometry-optimized CaHfC3 structure, with properties calculated at the PBE level.

Results
Magnetization, μB/f.u.: 0.0
SG: Pm-3m

Cell lengths 4.107, 4.107, 4.107 Å; angles 90.00, 90.00, 90.00 degrees
Sites, in units of the cell vectors:
Ca: 0.000 0.000 0.000
Hf: 0.500 0.500 0.500
C: 0.000 0.500 0.000
C: 0.000 0.000 0.500
C: 0.500 0.000 0.000

=====

Stability check: which of them is least stable? *b*.